i | Below is La2TcIr after structural relaxation, with properties calculated at the PBE level.

Summary:
DOS at the Fermi energy   0.913 states/eV per atom
V   183 Å³/cell

Unit cell a=7.604 b=7.604 c=6.236 alpha=52.43 beta=52.43 gamma=90.00
Fractional positions:
La (0.617, 0.125, 0.250)
La (0.133, 0.625, 0.250)
La (0.875, 0.867, 0.750)
La (0.375, 0.383, 0.750)
Ir (0.750, 0.250, 0.500)
Ir (0.000, 0.000, 0.000)
Tc (0.500, 0.500, 0.000)
Tc (0.250, 0.750, 0.500)


ii | Below is La2TcIr after structural relaxation, with properties calculated at the PBE level.

Summary:
DOS at the Fermi energy   1.581 states/eV per atom
V   113 Å³/cell

Unit cell a=7.451 b=7.451 c=7.451 alpha=33.70 beta=33.70 gamma=33.70
Fractional positions:
La (0.033, 0.033, 0.033)
La (0.218, 0.218, 0.218)
Ir (0.800, 0.800, 0.800)
Tc (0.450, 0.450, 0.450)


iii | Below is La2TcIr after structural relaxation, with properties calculated at the PBE level.

Summary:
DOS at the Fermi energy   1.316 states/eV per atom
V   101 Å³/cell

Unit cell a=3.403 b=3.403 c=8.746 alpha=90.00 beta=90.00 gamma=94.92
Fractional positions:
Tc (0.000, 0.000, 0.568)
Ir (0.500, 0.500, 0.686)
La (0.000, 0.000, 0.925)
La (0.500, 0.500, 0.321)


iv | Below is La2TcIr after structural relaxation, with properties calculated at the PBE level.

Summary:
DOS at the Fermi energy   1.381 states/eV per atom
V   90 Å³/cell

Unit cell a=5.933 b=5.933 c=5.933 alpha=138.86 beta=138.86 gamma=59.59
Fractional positions:
Ir (0.750, 0.250, 0.500)
Tc (0.500, 0.500, 0.000)
La (0.250, 0.750, 0.500)
La (0.000, 0.000, 0.000)


Which of them is most stable? Easy: ii.


i | Below is La2TcIr after structural relaxation, with properties calculated at the PBE level.

Summary:
DOS at the Fermi energy   1.638 states/eV per atom
V   92 Å³/cell

Unit cell a=3.528 b=3.731 c=7.918 alpha=61.76 beta=90.00 gamma=90.00
Fractional positions:
Tc (0.500, 0.250, 0.250)
La (0.000, 0.002, 0.997)
La (0.000, 0.498, 0.503)
Ir (0.500, 0.750, 0.750)


ii | Below is La2TcIr after structural relaxation, with properties calculated at the PBE level.

Summary:
DOS at the Fermi energy   1.459 states/eV per atom
V   97 Å³/cell

Unit cell a=6.612 b=6.612 c=6.612 alpha=149.07 beta=139.09 gamma=52.16
Fractional positions:
La (0.733, 0.233, 0.500)
La (0.014, 0.014, 0.000)
Tc (0.455, 0.455, 0.000)
Ir (0.298, 0.798, 0.500)


Which of them is most stable? Easy: ii.


i | Below is La2TcIr after structural relaxation, with properties calculated at the PBE level.

Summary:
DOS at the Fermi energy   1.329 states/eV per atom
V   100 Å³/cell

Unit cell a=8.271 b=8.271 c=8.271 alpha=26.67 beta=26.67 gamma=26.67
Fractional positions:
La (0.495, 0.495, 0.495)
La (0.005, 0.005, 0.005)
Ir (0.750, 0.750, 0.750)
Tc (0.250, 0.250, 0.250)


ii | Below is La2TcIr after structural relaxation, with properties calculated at the PBE level.

Summary:
DOS at the Fermi energy   1.388 states/eV per atom
V   85 Å³/cell

Unit cell a=4.938 b=4.938 c=4.938 alpha=60.00 beta=60.00 gamma=60.00
Fractional positions:
La (0.000, 0.000, 0.000)
La (0.250, 0.250, 0.250)
Tc (0.750, 0.750, 0.750)
Ir (0.500, 0.500, 0.500)


Which of them is most stable? Easy: ii.